Computed, not measured: a geometry-optimized ErMg3Pt2 structure at the PBE level of DFT.

## Properties
Total magnetization in μB per formula unit: 0.00
Formation energy from the elements in meV/atom: -855
Space group: Pmc2_1

Lattice parameters (Å, degrees): 4.0863 6.9927 8.3717 90.00 90.00 90.00
Positions (direct):
Er1 0.5000 0.5351 0.5866
Er2 0.5000 0.0351 0.4134
Mg1 0.0000 0.4645 0.9218
Mg2 0.0000 0.9645 0.0782
Mg3 0.5000 0.6402 0.1824
Mg4 0.5000 0.1402 0.8176
Mg5 0.0000 0.3644 0.2997
Mg6 0.0000 0.8644 0.7003
Pt1 0.5000 0.7534 0.8803
Pt2 0.5000 0.2534 0.1197
Pt3 0.0000 0.2423 0.6124
Pt4 0.0000 0.7423 0.3876